# Cl | Alexandria | GGA-PBE | relaxed
data_Cl
_symmetry_space_group_name_H-M 'I m -3 m'
_symmetry_Int_Tables_number 229
_symmetry_space_group_name_Hall '-I 4 2 3'
_cell_length_a 3.540
_cell_length_b 3.540
_cell_length_c 3.540
_cell_angle_alpha 90.00
_cell_angle_beta 90.00
_cell_angle_gamma 90.00
loop_
_atom_site_label
_atom_site_fract_x
_atom_site_fract_y
_atom_site_fract_z
Cl1 0.000 0.000 0.000
# * total energy: -0.9820 eV/atom
# * formation energy without anion corrections: 865 meV/atom
# * relative energy among the computed polymorphs: 0.865 eV per atom